(1)
Below is a relaxed IrPt2Cl crystal, with properties calculated at the GGA-PBE level.

calculated volume: 16.5 Å³/atom
ΔE to the lowest computed polymorph: 13.95 kJ/mol of atoms

Cell: 2.909 2.909 7.777 Å, 90.00 90.00 90.00°
Positions (direct):
Cl1 0.500 0.500 0.250
Pt1 0.000 0.000 0.522
Pt2 0.000 0.000 0.978
Ir1 0.500 0.500 0.750

(2)
Below is a relaxed Tb3CeNd8 crystal, with properties calculated at the GGA-PBE level.

calculated volume: 36.9 Å³/atom
E_form: 0.54 eV/atom

Cell: 8.466 8.466 8.466 Å, 93.97 117.73 117.73°
Positions (direct):
Ce1 0.000 0.000 0.000
Tb1 0.000 0.500 0.500
Tb2 0.500 0.750 0.250
Tb3 0.500 0.250 0.750
Nd1 0.000 0.636 0.880
Nd2 0.000 0.880 0.636
Nd3 0.000 0.780 0.256
Nd4 0.524 0.744 0.744
Nd5 0.000 0.256 0.780
Nd6 0.757 0.120 0.120
Nd7 0.243 0.364 0.364
Nd8 0.476 0.220 0.220

(3)
Below is a relaxed TeIrIO2 crystal, with properties calculated at the GGA-PBE level.

calculated volume: 21.0 Å³/atom
ΔE to the lowest computed polymorph: 15.69 kJ/mol of atoms

Cell: 3.970 3.970 6.646 Å, 90.00 90.00 90.00°
Positions (direct):
I1 0.000 0.000 0.500
Ir1 0.500 0.500 0.500
O1 0.500 0.000 0.000
O2 0.000 0.500 0.000
Te1 0.000 0.000 0.000

(4)
Below is a relaxed TaReWSe2 crystal, with properties calculated at the GGA-PBE level.

electronic total energy: -7.259 eV per atom
calculated volume: 22.2 Å³/atom

Cell: 4.751 4.925 4.751 Å, 90.00 90.00 90.00°
Positions (direct):
Ta1 0.500 0.500 0.500
Se1 0.500 0.000 0.000
Se2 0.000 0.000 0.500
Re1 0.000 0.500 0.000
W1 0.000 0.000 0.000